# 1
! SmInTe2 PBE-GGA optimized geometry; values from VASP
! - symmetry = P4/mmm, No. 123
! - formation energy (no corrections) (eV/f.u.) = -3.3
! - calculated density (Mg/m³) = 7.06
&SYSTEM
  ibrav = 0, nat = 4, ntyp = 3
/
ATOMIC_SPECIES
Sm 150.36 Sm.upf
In 114.82 In.upf
Te 127.60 Te.upf
ATOMIC_POSITIONS angstrom
Sm 0.000 0.000 0.000
In 0.000 0.000 3.957
Te 1.967 1.967 1.779
Te 1.967 1.967 6.136
CELL_PARAMETERS angstrom
3.933 0.000 0.000
0.000 3.933 0.000
0.000 0.000 7.915

---

# 2
! Sm3TiIn3Te8 PBE-GGA optimized geometry; values from VASP
! - symmetry = R-3m, No. 166
! - formation energy (no corrections) (eV/f.u.) = -13.4
! - calculated density (Mg/m³) = 5.85
&SYSTEM
  ibrav = 0, nat = 15, ntyp = 4
/
ATOMIC_SPECIES
Sm 150.36 Sm.upf
Ti 47.87 Ti.upf
In 114.82 In.upf
Te 127.60 Te.upf
ATOMIC_POSITIONS angstrom
Sm -2.179 -1.258 8.039
Sm -2.179 1.258 16.079
Sm 0.000 2.516 8.039
Ti 0.000 0.000 0.000
In -4.358 0.000 12.059
In -2.179 1.258 4.020
In 2.179 1.258 4.020
Te 0.000 -2.736 9.757
Te -2.369 1.368 9.757
Te -2.369 -1.368 14.361
Te 0.000 0.000 6.186
Te 0.000 0.000 17.932
Te 2.369 1.368 9.757
Te 2.369 -1.368 14.361
Te 0.000 2.736 14.361
CELL_PARAMETERS angstrom
4.358 2.516 8.039
-4.358 2.516 8.039
0.000 -5.032 8.039

---

# 3
! Sm3Tl3InTe8 PBE-GGA optimized geometry; values from VASP
! - symmetry = R-3m, No. 166
! - formation energy (no corrections) (eV/f.u.) = -12.5
! - calculated density (Mg/m³) = 6.50
&SYSTEM
  ibrav = 0, nat = 15, ntyp = 4
/
ATOMIC_SPECIES
Sm 150.36 Sm.upf
Tl 204.38 Tl.upf
In 114.82 In.upf
Te 127.60 Te.upf
ATOMIC_POSITIONS angstrom
Sm -2.232 -1.289 8.146
Sm -2.232 1.289 16.291
Sm 0.000 2.577 8.146
Tl -4.464 0.000 12.218
Tl -2.232 1.289 4.073
Tl 2.232 1.289 4.073
In 0.000 0.000 0.000
Te 0.000 -2.653 9.888
Te -2.297 1.326 9.888
Te -2.297 -1.326 14.549
Te 0.000 0.000 6.343
Te 0.000 0.000 18.094
Te 2.297 1.326 9.888
Te 2.297 -1.326 14.549
Te 0.000 2.653 14.549
CELL_PARAMETERS angstrom
4.464 2.577 8.146
-4.464 2.577 8.146
0.000 -5.154 8.146